MgTcTeN2 PBE optimized geometry; formation energy from raw total energies = 1770 meV/atom; energy above the lowest structure with this stoichiometry = 138.8 kJ/mol of atoms; volume = 84.1 Å³/f.u.; electronic total energy = -4.580 eV per atom; SG = P4/mmm, No. 123
1.0
3.917 0.000 0.000
0.000 3.917 0.000
0.000 0.000 5.482
Mg Tc Te N
1 1 1 2
direct
0.000 0.000 0.000 Mg
0.500 0.500 0.500 Tc
0.000 0.000 0.500 Te
0.000 0.500 0.000 N
0.500 0.000 0.000 N